The following is a DFT calculation (GGA+U) of a geometry-optimized Rb2AlFeF6 structure.

a b c (Å): 5.813 5.813 8.860
angles (deg): 90.00 90.00 90.00
Space group I4/mmm (No. 139)
Inequivalent atoms, fractional coordinates:
Rb 0.000 0.500 0.250 x4
Al 0.000 0.000 0.000 x2
Fe 0.000 0.000 0.500 x2
F 0.000 0.000 0.207 x4
F 0.226 0.226 0.000 x8

Values from the calculation:
* E: -5.001 eV per atom